Record 1
Entry from Alexandria: crystalline LiZnIn2S4 at its relaxed geometry (PBE-GGA).

CIF file:
```
data_LiZnIn2S4
_space_group_name_H-M_alt 'P 1'
_space_group_IT_number 1
_cell_length_a 6.040
_cell_length_b 6.040
_cell_length_c 6.643
_cell_angle_alpha 114.00
_cell_angle_beta 114.00
_cell_angle_gamma 96.04
loop_
_space_group_symop_operation_xyz
'x,y,z'
loop_
_atom_site_label
_atom_site_fract_x
_atom_site_fract_y
_atom_site_fract_z
Li1 0.504 0.504 0.009
Zn1 0.002 0.002 0.005
In1 0.761 0.261 0.521
In2 0.261 0.761 0.521
S1 0.634 0.634 0.756
S2 0.345 0.871 0.217
S3 0.871 0.345 0.217
S4 0.121 0.121 0.756
```

Values from the calculation:
Density: 3.73 g/cm³
E_form (uncorrected): -702 meV/atom

***

Record 2
Entry from Alexandria: crystalline Sr2Zn7Rh at its relaxed geometry (PBE-GGA).

CIF file:
```
data_Sr2Zn7Rh
_space_group_name_H-M_alt 'P 1'
_space_group_IT_number 1
_cell_length_a 4.191
_cell_length_b 4.191
_cell_length_c 11.462
_cell_angle_alpha 90.00
_cell_angle_beta 90.00
_cell_angle_gamma 90.00
loop_
_space_group_symop_operation_xyz
'x,y,z'
loop_
_atom_site_label
_atom_site_fract_x
_atom_site_fract_y
_atom_site_fract_z
Sr1 0.500 0.000 0.753
Sr2 0.000 0.500 0.247
Zn1 0.000 0.500 0.870
Zn2 0.500 0.000 0.362
Zn3 0.500 0.000 0.130
Zn4 0.000 0.500 0.638
Zn5 0.000 0.000 0.500
Zn6 0.000 0.000 0.000
Zn7 0.500 0.500 0.500
Rh1 0.500 0.500 0.000
```

Values from the calculation:
ΔE_f: -0.24 eV per atom
Density: 6.07 g/cm³

***

Record 3
Entry from Alexandria: crystalline La3Tb6Pm2Dy at its relaxed geometry (PBE-GGA).

CIF file:
```
data_La3Tb6Pm2Dy
_space_group_name_H-M_alt 'P 1'
_space_group_IT_number 1
_cell_length_a 6.285
_cell_length_b 6.285
_cell_length_c 11.939
_cell_angle_alpha 95.03
_cell_angle_beta 95.03
_cell_angle_gamma 120.02
loop_
_space_group_symop_operation_xyz
'x,y,z'
loop_
_atom_site_label
_atom_site_fract_x
_atom_site_fract_y
_atom_site_fract_z
La1 0.167 0.833 0.500
La2 0.833 0.167 0.500
La3 0.500 0.500 0.500
Tb1 0.918 0.585 0.754
Tb2 0.749 0.749 0.246
Tb3 0.082 0.415 0.246
Tb4 0.585 0.918 0.754
Tb5 0.251 0.251 0.754
Tb6 0.415 0.082 0.246
Pm1 0.334 0.666 0.000
Pm2 0.666 0.334 0.000
Dy1 0.000 0.000 0.000
```

Values from the calculation:
ΔE_f: 0.02 eV per atom
Density: 7.53 g/cm³

***

Record 4
Entry from Alexandria: crystalline ZrTeS2N at its relaxed geometry (PBE-GGA).

CIF file:
```
data_ZrTeS2N
_space_group_name_H-M_alt 'P 1'
_space_group_IT_number 1
_cell_length_a 5.142
_cell_length_b 5.142
_cell_length_c 4.035
_cell_angle_alpha 90.00
_cell_angle_beta 90.00
_cell_angle_gamma 90.00
loop_
_space_group_symop_operation_xyz
'x,y,z'
loop_
_atom_site_label
_atom_site_fract_x
_atom_site_fract_y
_atom_site_fract_z
S1 0.000 0.500 0.000
S2 0.500 0.000 0.000
Te1 0.500 0.500 0.500
Zr1 0.000 0.000 0.000
N1 0.000 0.000 0.500
```

Values from the calculation:
Density: 4.62 g/cm³
E_form (uncorrected): 28 meV/atom
Energy above the most stable polymorph in this dataset: 0 meV/atom

***

Record 5
Entry from Alexandria: crystalline ReSi2Pb at its relaxed geometry (PBE-GGA).

CIF file:
```
data_ReSi2Pb
_space_group_name_H-M_alt 'P 1'
_space_group_IT_number 1
_cell_length_a 4.663
_cell_length_b 4.663
_cell_length_c 3.324
_cell_angle_alpha 90.00
_cell_angle_beta 90.00
_cell_angle_gamma 107.19
loop_
_space_group_symop_operation_xyz
'x,y,z'
loop_
_atom_site_label
_atom_site_fract_x
_atom_site_fract_y
_atom_site_fract_z
Pb1 0.500 0.000 0.500
Re1 0.000 0.500 0.500
Si1 0.000 0.000 0.000
Si2 0.500 0.500 0.000
```

Values from the calculation:
Density: 10.81 g/cm³
E_form (uncorrected): 871 meV/atom

***

Record 6
Entry from Alexandria: crystalline RbBaSi2 at its relaxed geometry (PBE-GGA).

CIF file:
```
data_RbBaSi2
_space_group_name_H-M_alt 'P 1'
_space_group_IT_number 1
_cell_length_a 5.704
_cell_length_b 5.704
_cell_length_c 5.704
_cell_angle_alpha 60.00
_cell_angle_beta 60.00
_cell_angle_gamma 60.00
loop_
_space_group_symop_operation_xyz
'x,y,z'
loop_
_atom_site_label
_atom_site_fract_x
_atom_site_fract_y
_atom_site_fract_z
Si1 0.250 0.250 0.250
Si2 0.750 0.750 0.750
Ba1 0.500 0.500 0.500
Rb1 0.000 0.000 0.000
```

Values from the calculation:
Density: 3.53 g/cm³
E_form (uncorrected): 421 meV/atom
Energy above the most stable polymorph in this dataset: 0 meV/atom

***

Record 7
Entry from Alexandria: crystalline HoU2Co9 at its relaxed geometry (PBE-GGA).

CIF file:
```
data_HoU2Co9
_space_group_name_H-M_alt 'P 1'
_space_group_IT_number 1
_cell_length_a 4.836
_cell_length_b 4.836
_cell_length_c 8.603
_cell_angle_alpha 73.68
_cell_angle_beta 73.68
_cell_angle_gamma 60.00
loop_
_space_group_symop_operation_xyz
'x,y,z'
loop_
_atom_site_label
_atom_site_fract_x
_atom_site_fract_y
_atom_site_fract_z
Ho1 0.000 0.000 0.000
U1 0.859 0.859 0.422
U2 0.141 0.141 0.578
Co1 0.667 0.667 0.998
Co2 0.333 0.333 0.002
Co3 0.500 0.500 0.500
Co4 0.418 0.418 0.247
Co5 0.916 0.418 0.247
Co6 0.418 0.916 0.247
Co7 0.582 0.582 0.753
Co8 0.582 0.084 0.753
Co9 0.084 0.582 0.753
```

Values from the calculation:
ΔE_f: -0.18 eV per atom
Density: 11.80 g/cm³

***

Record 8
Entry from Alexandria: crystalline Pm2Tm5Sc2 at its relaxed geometry (PBE-GGA).

CIF file:
```
data_Pm2Tm5Sc2
_space_group_name_H-M_alt 'P 1'
_space_group_IT_number 1
_cell_length_a 11.242
_cell_length_b 6.736
_cell_length_c 9.804
_cell_angle_alpha 110.09
_cell_angle_beta 124.99
_cell_angle_gamma 90.00
loop_
_space_group_symop_operation_xyz
'x,y,z'
loop_
_atom_site_label
_atom_site_fract_x
_atom_site_fract_y
_atom_site_fract_z
Pm1 0.118 0.690 0.261
Pm2 0.882 0.429 0.739
Pm3 0.643 0.190 0.261
Pm4 0.357 0.929 0.739
Tm1 0.223 0.656 0.892
Tm2 0.777 0.763 0.108
Tm3 0.169 0.156 0.892
Tm4 0.831 0.263 0.108
Tm5 0.376 0.034 0.286
Tm6 0.624 0.748 0.714
Tm7 0.410 0.534 0.286
Tm8 0.590 0.248 0.714
Tm9 0.973 0.661 0.500
Tm10 0.028 0.161 0.500
Sc1 0.000 0.969 0.000
Sc2 0.500 0.469 0.000
Sc3 0.274 0.385 0.500
Sc4 0.726 0.885 0.500
```

Values from the calculation:
ΔE_f: 0.25 eV per atom
Density: 7.37 g/cm³
Energy above the most stable polymorph in this dataset: 157 meV/atom

***

Record 9
Entry from Alexandria: crystalline Na2CrBiS4 at its relaxed geometry (PBE-GGA).

CIF file:
```
data_Na2CrBiS4
_space_group_name_H-M_alt 'P 1'
_space_group_IT_number 1
_cell_length_a 3.830
_cell_length_b 6.705
_cell_length_c 7.031
_cell_angle_alpha 108.45
_cell_angle_beta 90.00
_cell_angle_gamma 90.00
loop_
_space_group_symop_operation_xyz
'x,y,z'
loop_
_atom_site_label
_atom_site_fract_x
_atom_site_fract_y
_atom_site_fract_z
Na1 0.500 0.000 0.500
Na2 0.000 0.500 0.500
Cr1 0.500 0.500 0.000
Bi1 0.000 0.000 0.000
S1 0.500 0.277 0.224
S2 0.500 0.723 0.776
S3 0.000 0.295 0.795
S4 0.000 0.705 0.205
```

Values from the calculation:
Density: 4.22 g/cm³
E_form (uncorrected): -772 meV/atom

***

Record 10
Entry from Alexandria: crystalline BeCr2Tc at its relaxed geometry (PBE-GGA).

CIF file:
```
data_BeCr2Tc
_space_group_name_H-M_alt 'P 1'
_space_group_IT_number 1
_cell_length_a 4.592
_cell_length_b 4.592
_cell_length_c 2.542
_cell_angle_alpha 90.00
_cell_angle_beta 90.00
_cell_angle_gamma 116.89
loop_
_space_group_symop_operation_xyz
'x,y,z'
loop_
_atom_site_label
_atom_site_fract_x
_atom_site_fract_y
_atom_site_fract_z
Cr1 0.000 0.000 0.000
Cr2 0.500 0.500 0.000
Tc1 0.500 0.000 0.500
Be1 0.000 0.500 0.500
```

Values from the calculation:
ΔE_f: 0.20 eV per atom
Density: 7.33 g/cm³

***

Record 11
Entry from Alexandria: crystalline PuAlAu2 at its relaxed geometry (PBE-GGA).

CIF file:
```
data_PuAlAu2
_space_group_name_H-M_alt 'P 1'
_space_group_IT_number 1
_cell_length_a 3.162
_cell_length_b 3.162
_cell_length_c 7.746
_cell_angle_alpha 90.00
_cell_angle_beta 90.00
_cell_angle_gamma 90.00
loop_
_space_group_symop_operation_xyz
'x,y,z'
loop_
_atom_site_label
_atom_site_fract_x
_atom_site_fract_y
_atom_site_fract_z
Au1 0.000 0.000 0.796
Au2 0.000 0.000 0.204
Al1 0.500 0.500 0.000
Pu1 0.500 0.500 0.500
```

Values from the calculation:
ΔE_f: -0.41 eV per atom
Density: 14.26 g/cm³

***

Record 12
Entry from Alexandria: crystalline MgRe2P at its relaxed geometry (PBE-GGA).

CIF file:
```
data_MgRe2P
_space_group_name_H-M_alt 'P 1'
_space_group_IT_number 1
_cell_length_a 2.966
_cell_length_b 2.966
_cell_length_c 6.838
_cell_angle_alpha 90.00
_cell_angle_beta 90.00
_cell_angle_gamma 90.00
loop_
_space_group_symop_operation_xyz
'x,y,z'
loop_
_atom_site_label
_atom_site_fract_x
_atom_site_fract_y
_atom_site_fract_z
Mg1 0.500 0.500 0.250
P1 0.500 0.500 0.750
Re1 0.000 0.000 0.944
Re2 0.000 0.000 0.556
```

Values from the calculation:
ΔE_f: 0.13 eV per atom
Density: 11.81 g/cm³
Energy above the most stable polymorph in this dataset: 147 meV/atom

***

Question: Look up the density of the eleventh one.
Answer: 14.26 g/cm³

***

Question: The highest density belongs to which entry?
Answer: PuAlAu2

***

Question: Among the records above, which one has the highest density?
Answer: PuAlAu2